VASP calculation (PBE) on a relaxed structure of MgSbTe2Rh.

Cell: 5.460 5.460 4.902 Å, 90.00 90.00 90.00°
Element x y z (fractional)
Mg 0.000 0.000 0.000
Sb 0.500 0.500 0.000
Te 0.000 0.500 0.500
Te 0.500 0.000 0.500
Rh 0.500 0.500 0.500

Values from the calculation:
Its mass density is 5.73 g/cm³. Its density of states at the Fermi level is 3.00 states/eV/cell. Its energy relative to the lowest polymorph listed for this composition is 0.0 meV/atom. As for the total energy: -18.57 eV/cell. Its formation energy from raw total energies is 0.155 eV per atom.